The following is a PBE calculation of a relaxed structure of ScMo2, from the Alexandria database.

a = 2.713 Å, b = 4.780 Å, c = 8.052 Å
α = 90.00°, β = 90.00°, γ = 90.00°
Space group Immm (No. 71)
One atom of each set of equivalent atoms:
Sc 0.000 0.000 0.000
Mo 0.000 0.000 0.339

The following is a PBE calculation of a relaxed structure of ScMo7, from the Alexandria database.

a = 8.093 Å, b = 8.093 Å, c = 8.093 Å
α = 90.00°, β = 90.00°, γ = 90.00°
Space group Fm-3m (No. 225)
One atom of each set of equivalent atoms:
Sc 0.000 0.000 0.000
Mo 0.000 0.000 0.500
Mo 0.000 0.250 0.250

The following is a PBE calculation of a relaxed structure of Sc3Mo, from the Alexandria database.

a = 5.118 Å, b = 5.118 Å, c = 5.118 Å
α = 90.00°, β = 90.00°, γ = 90.00°
Space group Pm-3m (No. 221)
One atom of each set of equivalent atoms:
Sc 0.000 0.000 0.500
Mo 0.000 0.000 0.000

Results
E above lowest polymorph in meV per atom: 813

The following is a PBE calculation of a relaxed structure of Sc3Mo2, from the Alexandria database.

a = 4.7215 Å, b = 4.7215 Å, c = 5.6439 Å
α = 90.00°, β = 90.00°, γ = 120.00°
Space group P-3m1 (No. 164)
One atom of each set of equivalent atoms:
Sc 0.0000 0.0000 0.0000
Sc 0.3333 0.6667 0.3663
Mo 0.3333 0.6667 0.9121

Results
E above lowest polymorph in meV per atom: 90

The following is a PBE calculation of a relaxed structure of Sc3Mo5, from the Alexandria database.

a = 5.150 Å, b = 13.395 Å, c = 8.587 Å
α = 90.00°, β = 90.00°, γ = 90.00°
Space group Amm2 (No. 38)
One atom of each set of equivalent atoms:
Sc 0.000 0.000 0.000
Sc 0.000 0.133 0.374
Sc 0.500 0.000 0.260
Sc 0.500 0.243 0.311
Mo 0.000 0.000 0.616
Mo 0.000 0.158 0.754
Mo 0.242 0.186 0.054
Mo 0.500 0.000 0.820
Mo 0.500 0.114 0.578

Results
E above lowest polymorph in meV per atom: 79

The following is a PBE calculation of a relaxed structure of Sc3Mo, from the Alexandria database.

a = 4.360 Å, b = 4.360 Å, c = 4.360 Å
α = 90.00°, β = 90.00°, γ = 90.00°
Space group Pm-3m (No. 221)
One atom of each set of equivalent atoms:
Sc 0.000 0.000 0.500
Mo 0.500 0.500 0.500

Results
E above lowest polymorph in meV per atom: 86

The following is a PBE calculation of a relaxed structure of ScMo2, from the Alexandria database.

a = 6.419 Å, b = 6.419 Å, c = 5.273 Å
α = 90.00°, β = 90.00°, γ = 90.00°
Space group I4/mcm (No. 140)
One atom of each set of equivalent atoms:
Sc 0.000 0.000 0.250
Mo 0.136 0.364 0.000

The following is a PBE calculation of a relaxed structure of ScMo2, from the Alexandria database.

a = 5.4101 Å, b = 5.4101 Å, c = 17.2985 Å
α = 90.00°, β = 90.00°, γ = 120.00°
Space group P6_3/mmc (No. 194)
One atom of each set of equivalent atoms:
Sc 0.0000 0.0000 0.0942
Sc 0.3333 0.6667 0.1563
Mo 0.0000 0.5000 0.0000
Mo 0.1621 0.3242 0.7500
Mo 0.3333 0.6667 0.6238

The evaluated energy relative to the elements for the records listed, in turn: 0.231, 0.447, 0.878, 0.357, 0.300, 0.151, 0.844, -0.016 eV per atom.
The evaluated magnetic moment for the records listed, in turn: 0.000, 0.000, 0.000, 0.000, 0.000, 0.000, 0.000, 0.000 μB per atom.